[1]
The following is a PBE calculation of an optimized crystal structure of RbBOs, from OQMD.

abc: 4.9497 4.9497 4.9497
angles: 60.00 60.00 60.00
Fractional positions:
Rb1 0.0000 0.0000 0.0000
B1 0.7500 0.7500 0.7500
Os1 0.2500 0.2500 0.2500

Results
* uncorrected energy: -2.699 eV/atom
* calculated volume: 85.7 Å³/cell


[2]
The following is a PBE calculation of an optimized crystal structure of Sc3Al3GePt2, from OQMD.

abc: 7.1390 7.1390 3.6722
angles: 90.00 90.00 120.00
Fractional positions:
Sc1 0.0000 0.6033 0.0000
Sc2 0.3967 0.3967 0.0000
Sc3 0.6033 0.0000 0.0000
Al1 0.0000 0.2724 0.5000
Al2 0.2724 0.0000 0.5000
Al3 0.7276 0.7276 0.5000
Ge1 0.0000 0.0000 0.0000
Pt1 0.3333 0.6667 0.5000
Pt2 0.6667 0.3333 0.5000

Results
* uncorrected energy: -6.117 eV/atom
* calculated volume: 162.1 Å³/cell


[3]
The following is a PBE calculation of an optimized crystal structure of Pr4Br2NCl3, from OQMD.

abc: 9.2902 9.2902 8.1190
angles: 104.36 104.36 23.99
Fractional positions:
Pr1 0.0000 0.0000 0.2120
Pr2 0.0000 0.0000 0.7880
Pr3 0.3588 0.3588 0.9161
Pr4 0.6412 0.6412 0.0839
Br1 0.1709 0.1709 0.8200
Br2 0.8291 0.8291 0.1800
N1 0.5000 0.5000 0.0000
Cl1 0.1607 0.1607 0.3502
Cl2 0.5000 0.5000 0.5000
Cl3 0.8393 0.8393 0.6498

Results
* uncorrected energy: -5.404 eV/atom
* calculated volume: 275.6 Å³/cell


[4]
The following is a PBE calculation of an optimized crystal structure of CoP2W, from OQMD.

abc: 3.3006 3.3006 11.2019
angles: 90.00 90.00 120.00
Fractional positions:
Co1 0.0000 0.0000 0.0000
Co2 0.0000 0.0000 0.5000
P1 0.3333 0.6667 0.1086
P2 0.3333 0.6667 0.3914
P3 0.6667 0.3333 0.6086
P4 0.6667 0.3333 0.8914
W1 0.0000 0.0000 0.2500
W2 0.0000 0.0000 0.7500

Results
* uncorrected energy: -8.239 eV/atom
* calculated volume: 105.7 Å³/cell


[5]
The following is a PBE calculation of an optimized crystal structure of Np4Ga12Ir, from OQMD.

abc: 7.4407 7.4407 7.4407
angles: 109.47 109.47 109.47
Fractional positions:
Np1 0.0000 0.0000 0.5000
Np2 0.0000 0.5000 0.0000
Np3 0.5000 0.0000 0.0000
Np4 0.5000 0.5000 0.5000
Ga1 0.0000 0.2919 0.2919
Ga2 0.0000 0.7081 0.7081
Ga3 0.2500 0.5000 0.7500
Ga4 0.2500 0.7500 0.5000
Ga5 0.2919 0.0000 0.2919
Ga6 0.2919 0.2919 0.0000
Ga7 0.5000 0.2500 0.7500
Ga8 0.5000 0.7500 0.2500
Ga9 0.7081 0.0000 0.7081
Ga10 0.7081 0.7081 0.0000
Ga11 0.7500 0.2500 0.5000
Ga12 0.7500 0.5000 0.2500
Ir1 0.0000 0.0000 0.0000

Results
* uncorrected energy: -5.984 eV/atom
* calculated volume: 317.1 Å³/cell


[6]
The following is a PBE calculation of an optimized crystal structure of AcPaB, from OQMD.

abc: 4.6268 4.6268 4.6268
angles: 60.00 60.00 60.00
Fractional positions:
Ac1 0.0000 0.0000 0.0000
Pa1 0.5000 0.5000 0.5000
B1 0.2500 0.2500 0.2500

Results
* uncorrected energy: -6.236 eV/atom
* calculated volume: 70.0 Å³/cell


[7]
The following is a PBE calculation of an optimized crystal structure of ZrInNO, from OQMD.

abc: 3.8756 3.8756 7.4209
angles: 90.00 90.00 90.00
Fractional positions:
Zr1 0.2500 0.2500 0.1343
Zr2 0.7500 0.7500 0.8657
In1 0.2500 0.7500 0.5000
In2 0.7500 0.2500 0.5000
N1 0.2500 0.2500 0.6993
N2 0.7500 0.7500 0.3007
O1 0.2500 0.7500 0.0000
O2 0.7500 0.2500 0.0000

Results
* uncorrected energy: -6.829 eV/atom
* calculated volume: 111.5 Å³/cell


[8]
The following is a PBE calculation of an optimized crystal structure of PrSmAg4, from OQMD.

abc: 5.9259 5.9259 5.9259
angles: 132.14 107.10 92.01
Fractional positions:
Pr1 0.0000 0.0000 0.0000
Sm1 0.4310 0.9310 0.5000
Ag1 0.0121 0.2999 0.7122
Ag2 0.4189 0.6308 0.7881
Ag3 0.5876 0.2999 0.2878
Ag4 0.8428 0.6308 0.2119

Results
* energy of formation from the pure elements: -1.70 eV per formula unit
* uncorrected energy: -3.747 eV/atom
* calculated volume: 139.3 Å³/cell


[9]
The following is a PBE calculation of an optimized crystal structure of Dy3HoPd4, from OQMD.

abc: 5.5840 4.5592 6.9283
angles: 90.00 90.11 90.00
Fractional positions:
Dy1 0.0000 0.0000 0.0000
Dy2 0.2138 0.0000 0.4997
Dy3 0.5005 0.5000 0.8641
Ho1 0.7142 0.5000 0.3639
Pd1 0.0118 0.5000 0.7232
Pd2 0.2019 0.5000 0.2242
Pd3 0.5131 0.0000 0.1417
Pd4 0.7018 0.0000 0.6382

Results
* energy of formation from the pure elements: -7.47 eV per formula unit
* uncorrected energy: -5.820 eV/atom
* calculated volume: 176.4 Å³/cell


[10]
The following is a PBE calculation of an optimized crystal structure of PmTaN2O, from OQMD.

abc: 6.2991 6.2991 12.5571
angles: 90.00 90.00 120.00
Fractional positions:
Pm1 0.0000 0.0000 0.0000
Pm2 0.0000 0.0000 0.5000
Pm3 0.3333 0.6667 0.4635
Pm4 0.3333 0.6667 0.9635
Pm5 0.6667 0.3333 0.4635
Pm6 0.6667 0.3333 0.9635
Ta1 0.0000 0.3341 0.2276
Ta2 0.0000 0.6659 0.7276
Ta3 0.3341 0.0000 0.2276
Ta4 0.3341 0.3341 0.7276
Ta5 0.6659 0.0000 0.7276
Ta6 0.6659 0.6659 0.2276
N1 0.0000 0.3088 0.3823
N2 0.0000 0.3575 0.0737
N3 0.0000 0.6425 0.5737
N4 0.0000 0.6912 0.8823
N5 0.3088 0.0000 0.3823
N6 0.3088 0.3088 0.8823
N7 0.3575 0.0000 0.0737
N8 0.3575 0.3575 0.5737
N9 0.6425 0.0000 0.5737
N10 0.6425 0.6425 0.0737
N11 0.6912 0.0000 0.8823
N12 0.6912 0.6912 0.3823
O1 0.0000 0.0000 0.2092
O2 0.0000 0.0000 0.7092
O3 0.3333 0.6667 0.2402
O4 0.3333 0.6667 0.7402
O5 0.6667 0.3333 0.2402
O6 0.6667 0.3333 0.7402

Results
* uncorrected energy: -9.027 eV/atom
* calculated volume: 431.5 Å³/cell


[11]
The following is a PBE calculation of an optimized crystal structure of BaEr2S3, from OQMD.

abc: 3.9980 3.9980 10.2815
angles: 90.00 90.00 120.00
Fractional positions:
Ba1 0.0000 0.0000 0.0000
Er1 0.3333 0.6667 0.6491
Er2 0.6667 0.3333 0.3509
S1 0.0000 0.0000 0.5000
S2 0.3333 0.6667 0.2072
S3 0.6667 0.3333 0.7928

Results
* uncorrected energy: -5.877 eV/atom
* calculated volume: 142.3 Å³/cell


[12]
The following is a PBE calculation of an optimized crystal structure of Mg2ZrTl, from OQMD.

abc: 5.0136 5.0136 5.0136
angles: 60.00 60.00 60.00
Fractional positions:
Mg1 0.0000 0.0000 0.0000
Mg2 0.2500 0.2500 0.2500
Zr1 0.7500 0.7500 0.7500
Tl1 0.5000 0.5000 0.5000

Results
* uncorrected energy: -3.362 eV/atom
* calculated volume: 89.1 Å³/cell


Question: Which of these has the highest uncorrected energy?
Answer: RbBOs


Question: Which value of uncorrected energy does entry 8 give?
Answer: -3.747 eV/atom